Material: Pr4Sm5Cd2
Method: DFT, PBE-GGA
State: relaxed

Cell and atoms, written as POSCAR:
```
Pr4Sm5Cd2
1.0
-3.1873 -0.4546 1.5153
-2.8963 -3.9864 -7.2878
3.7059 -9.7395 4.8735
Pr Sm Cd
4 5 2
direct
0.5000 0.2701 0.4527
0.5000 0.1467 0.8784
0.5000 0.8533 0.1216
0.5000 0.7299 0.5473
0.0000 0.4348 0.7046
0.0000 0.5652 0.2954
0.0000 0.2038 0.1671
0.0000 0.7962 0.8329
0.0000 0.5000 0.0000
0.0000 0.9455 0.3680
0.0000 0.0545 0.6320
```

## Properties
- D(E_F): 1.41 states/eV/atom
- Density: 7.1 g/cm3
- Formation enthalpy at 0 K: -5 kJ/mol of formula units

=====

Material: RbMn2Pb2
Method: DFT, PBE-GGA
State: relaxed

Cell and atoms, written as POSCAR:
```
RbMn2Pb2
1.0
5.1073 0.0000 0.0000
0.0000 5.1073 0.0000
2.5537 2.5537 5.7402
Pb Mn Rb
2 2 1
direct
0.2500 0.7500 0.5000
0.7500 0.2500 0.5000
0.3723 0.3723 0.2554
0.6277 0.6277 0.7446
0.0000 0.0000 0.0000
```

## Properties
- D(E_F): 0.72 states/eV/atom
- Density: 6.8 g/cm3
- Formation enthalpy at 0 K: 235 kJ/mol of formula units

=====

Material: K3LaSm2Se6
Method: DFT, PBE-GGA
State: relaxed

Cell and atoms, written as POSCAR:
```
K3LaSm2Se6
1.0
-4.4181 0.1284 6.0940
-2.0623 -3.9586 -6.0621
5.8213 -4.8927 2.7732
Se K La Sm
6 3 1 2
direct
0.2698 0.2698 0.7902
0.7302 0.7302 0.2098
0.0699 0.4096 0.2097
0.5904 0.9301 0.7903
0.9301 0.5904 0.7903
0.4096 0.0699 0.2097
0.5000 0.5000 0.5000
0.8339 0.1661 0.5000
0.1661 0.8339 0.5000
0.0000 0.0000 0.0000
0.6667 0.3333 0.0000
0.3333 0.6667 0.0000
```

## Properties
- E_form (uncorrected): -1.78 eV per atom
- D(E_F): 0.00 states/eV/atom
- Density: 4.5 g/cm3

=====

Material: ZnRuO2
Method: DFT, PBE-GGA
State: relaxed

Cell and atoms, written as POSCAR:
```
ZnRuO2
1.0
4.8542 0.0000 0.0000
0.0000 4.8542 0.0000
2.4271 2.4271 4.2950
Ru Zn O
2 2 4
direct
0.0000 0.0000 0.0000
0.7500 0.2500 0.5000
0.5000 0.5000 0.0000
0.2500 0.7500 0.5000
0.1395 0.6250 0.2500
0.6105 0.1250 0.2500
0.8750 0.8605 0.7500
0.3750 0.3895 0.7500
```

## Properties
- E_form (uncorrected): -0.47 eV per atom
- D(E_F): 0.56 states/eV/atom
- Density: 6.5 g/cm3

=====

Material: Ce2Tl2Cd
Method: DFT, PBE-GGA
State: relaxed

Cell and atoms, written as POSCAR:
```
Ce2Tl2Cd
1.0
4.9586 0.0000 0.0000
-2.4793 5.7398 0.1028
0.0000 -2.5482 9.6049
Tl Cd Ce
4 2 4
direct
0.6590 0.3181 0.5836
0.3410 0.6819 0.4164
0.4724 0.9447 0.1459
0.5276 0.0553 0.8541
0.2666 0.5332 0.7238
0.7334 0.4668 0.2762
0.1650 0.3300 0.0512
0.0370 0.0740 0.3763
0.8350 0.6700 0.9488
0.9630 0.9260 0.6237
```

## Properties
- D(E_F): 2.35 states/eV/atom
- Density: 9.7 g/cm3
- Formation enthalpy at 0 K: -85 kJ/mol of formula units

=====

Material: Tb2Zn3Ni2
Method: DFT, PBE-GGA
State: relaxed

Cell and atoms, written as POSCAR:
```
Tb2Zn3Ni2
1.0
-2.0986 -2.5323 -2.6417
3.6083 -2.4759 2.8750
-5.0790 0.2018 3.8414
Tb Ni Zn
2 2 3
direct
0.6181 0.2363 0.3484
0.3819 0.7637 0.6516
0.9072 0.8144 0.3265
0.0928 0.1856 0.6735
0.0000 0.0000 0.0000
0.2908 0.5815 0.1237
0.7092 0.4185 0.8763
```

## Properties
- D(E_F): 0.66 states/eV/atom
- Density: 8.4 g/cm3
- Formation enthalpy at 0 K: -254 kJ/mol of formula units

=====

Material: AcSmH2
Method: DFT, PBE-GGA
State: relaxed

Cell and atoms, written as POSCAR:
```
AcSmH2
1.0
-2.5219 1.3580 2.4356
0.0745 -1.1025 3.5938
2.9520 4.6891 3.3441
Sm H Ac
1 2 1
direct
0.0000 0.0000 0.0000
0.2640 0.2640 0.2080
0.7360 0.7360 0.7920
0.5000 0.5000 0.5000
```

## Properties
- D(E_F): 0.54 states/eV/atom
- Density: 8.4 g/cm3
- Final energy: -4.2186 eV/atom

=====

Material: NdB4Rh7
Method: DFT, PBE-GGA
State: relaxed

Cell and atoms, written as POSCAR:
```
NdB4Rh7
1.0
2.9100 0.0000 0.0000
0.0000 5.5855 0.0000
0.0000 0.0000 9.6344
Rh B Nd
7 4 1
direct
0.5000 0.2583 0.7400
0.5000 0.7417 0.2600
0.5000 0.0000 0.5000
0.0000 0.5000 0.5000
0.5000 0.7417 0.7400
0.5000 0.5000 0.0000
0.5000 0.2583 0.2600
0.0000 0.5000 0.8345
0.0000 0.5000 0.1655
0.0000 0.0000 0.6691
0.0000 0.0000 0.3309
0.0000 0.0000 0.0000
```

## Properties
- D(E_F): 0.79 states/eV/atom
- Density: 9.6 g/cm3
- Formation enthalpy at 0 K: -383 kJ/mol of formula units

=====

Question: Number 7 is which compound?
Answer: AcSmH2